[1]
{
  "formula": "Ho4ZnSe2S",
  "functional": "GGA-PBE",
  "state": "optimized geometry",
  "lattice_angstrom": [[7.0330, 0.0000, 0.0000], [0.0000, 3.9358, 0.0000], [-2.2340, 0.0000, 6.7153]],
  "species": ["Ho", "Ho", "Ho", "Ho", "Zn", "Se", "Se", "S"],
  "frac_coords": [[0.2444, 0.0000, 0.2350], [0.2528, 0.5000, 0.7587], [0.7472, 0.5000, 0.2413], [0.7556, 0.0000, 0.7650], [0.5000, 0.0000, 0.0000], [0.0000, 0.0000, 0.5000], [0.5000, 0.5000, 0.5000], [0.0000, 0.5000, 0.0000]],
  "magmom_total_mub_per_fu": 0.0,
  "dos_at_fermi_per_ev_atom": 0.34,
  "e_tot_ev_per_fu": -42.155,
  "formation_energy_uncorrected_ev_per_atom": -1.4342,
  "sg": "P2/m"
}

[2]
{
  "formula": "HoSi2S6",
  "functional": "GGA-PBE",
  "state": "optimized geometry",
  "lattice_angstrom": [[6.2474, -5.6438, 0.0000], [6.2474, 5.6438, 0.0000], [-1.1701, 0.0000, 6.2378]],
  "species": ["Ho", "Ho", "Si", "Si", "Si", "Si", "S", "S", "S", "S", "S", "S", "S", "S", "S", "S", "S", "S"],
  "frac_coords": [[0.1224, 0.8776, 0.7500], [0.8776, 0.1224, 0.2500], [0.2097, 0.3592, 0.6842], [0.3592, 0.2097, 0.1842], [0.6408, 0.7903, 0.8158], [0.7903, 0.6408, 0.3158], [0.0329, 0.1921, 0.6494], [0.1252, 0.5780, 0.8508], [0.1921, 0.0329, 0.1494], [0.2771, 0.4234, 0.3883], [0.4220, 0.8748, 0.6492], [0.4234, 0.2771, 0.8883], [0.5766, 0.7229, 0.1117], [0.5780, 0.1252, 0.3508], [0.7229, 0.5766, 0.6117], [0.8079, 0.9671, 0.8506], [0.8748, 0.4220, 0.1492], [0.9671, 0.8079, 0.3506]],
  "magmom_total_mub_per_fu": 0.9,
  "dos_at_fermi_per_ev_atom": 0.54,
  "e_tot_ev_per_fu": -47.650,
  "formation_energy_uncorrected_ev_per_atom": -0.8291,
  "sg": "C2/c"
}

[3]
{
  "formula": "Ho2SiS",
  "functional": "GGA-PBE",
  "state": "optimized geometry",
  "lattice_angstrom": [[2.0243, -10.7802, 0.0000], [2.0243, 10.7802, 0.0000], [0.0000, 0.0000, 3.8740]],
  "species": ["Ho", "Ho", "Ho", "Ho", "Si", "Si", "S", "S"],
  "frac_coords": [[0.0665, 0.9335, 0.7500], [0.3210, 0.6790, 0.7500], [0.6790, 0.3210, 0.2500], [0.9335, 0.0665, 0.2500], [0.4599, 0.5401, 0.7500], [0.5401, 0.4599, 0.2500], [0.1925, 0.8075, 0.7500], [0.8075, 0.1925, 0.2500]],
  "magmom_total_mub_per_fu": 0.0,
  "dos_at_fermi_per_ev_atom": 0.50,
  "e_tot_ev_per_fu": -24.322,
  "formation_energy_uncorrected_ev_per_atom": -1.4041,
  "sg": "Cmcm"
}

[4]
{
  "formula": "Ho3SiS6",
  "functional": "GGA-PBE",
  "state": "optimized geometry",
  "lattice_angstrom": [[5.3058, -6.5720, 0.0000], [5.3058, 6.5720, 0.0000], [0.0000, 0.0000, 6.4160]],
  "species": ["Ho", "Ho", "Ho", "Ho", "Ho", "Ho", "Si", "Si", "S", "S", "S", "S", "S", "S", "S", "S", "S", "S", "S", "S"],
  "frac_coords": [[0.0932, 0.9068, 0.5000], [0.2226, 0.4129, 0.5971], [0.4129, 0.2226, 0.0971], [0.5871, 0.7774, 0.5971], [0.7774, 0.5871, 0.0971], [0.9068, 0.0932, 0.0000], [0.2977, 0.7023, 0.1406], [0.7023, 0.2977, 0.6406], [0.0730, 0.6041, 0.3033], [0.1269, 0.1973, 0.2988], [0.1973, 0.1269, 0.7988], [0.2879, 0.7121, 0.8027], [0.3959, 0.9270, 0.3033], [0.4544, 0.5456, 0.2624], [0.5456, 0.4544, 0.7624], [0.6041, 0.0730, 0.8033], [0.7121, 0.2879, 0.3027], [0.8027, 0.8731, 0.2988], [0.8731, 0.8027, 0.7988], [0.9270, 0.3959, 0.8033]],
  "magmom_total_mub_per_fu": 0.0,
  "dos_at_fermi_per_ev_atom": 0.33,
  "e_tot_ev_per_fu": -59.948,
  "formation_energy_uncorrected_ev_per_atom": -1.6027,
  "sg": "Cmc2_1"
}

[5]
{
  "formula": "Ho2Si2S7",
  "functional": "GGA-PBE",
  "state": "optimized geometry",
  "lattice_angstrom": [[4.3505, -5.4052, 0.0000], [4.3505, 5.4052, 0.0000], [-1.2180, 0.0000, 5.7385]],
  "species": ["Ho", "Ho", "Si", "Si", "S", "S", "S", "S", "S", "S", "S"],
  "frac_coords": [[0.1965, 0.8035, 0.0000], [0.8035, 0.1965, 0.0000], [0.2743, 0.2743, 0.5899], [0.7257, 0.7257, 0.4101], [0.0868, 0.4182, 0.7780], [0.1034, 0.1034, 0.2731], [0.4182, 0.0868, 0.7780], [0.5000, 0.5000, 0.5000], [0.5818, 0.9132, 0.2220], [0.8966, 0.8966, 0.7269], [0.9132, 0.5818, 0.2220]],
  "magmom_total_mub_per_fu": 0.0,
  "dos_at_fermi_per_ev_atom": 0.00,
  "e_tot_ev_per_fu": -61.493,
  "formation_energy_uncorrected_ev_per_atom": -1.1454,
  "sg": "C2/m"
}

[6]
{
  "formula": "HoSiS3",
  "functional": "GGA-PBE",
  "state": "optimized geometry",
  "lattice_angstrom": [[6.4876, 0.0000, 0.0000], [0.0000, 7.1587, 0.0000], [-6.0151, 0.0000, 9.1793]],
  "species": ["Ho", "Ho", "Ho", "Ho", "Si", "Si", "Si", "Si", "S", "S", "S", "S", "S", "S", "S", "S", "S", "S", "S", "S"],
  "frac_coords": [[0.2077, 0.1260, 0.2523], [0.2077, 0.3740, 0.7523], [0.7923, 0.6260, 0.2477], [0.7923, 0.8740, 0.7477], [0.1492, 0.6060, 0.0672], [0.1492, 0.8940, 0.5672], [0.8508, 0.1060, 0.4328], [0.8508, 0.3940, 0.9328], [0.0695, 0.1753, 0.9247], [0.0695, 0.3247, 0.4247], [0.2803, 0.6906, 0.9358], [0.2803, 0.8094, 0.4358], [0.4196, 0.0238, 0.7657], [0.4196, 0.4762, 0.2657], [0.5804, 0.5238, 0.7343], [0.5804, 0.9762, 0.2343], [0.7197, 0.1906, 0.5642], [0.7197, 0.3094, 0.0642], [0.9305, 0.6753, 0.5753], [0.9305, 0.8247, 0.0753]],
  "magmom_total_mub_per_fu": 0.0,
  "dos_at_fermi_per_ev_atom": 0.00,
  "e_tot_ev_per_fu": -28.844,
  "formation_energy_uncorrected_ev_per_atom": -1.2923,
  "sg": "P2_1/c"
}

[7]
{
  "formula": "HoSiS",
  "functional": "GGA-PBE",
  "state": "optimized geometry",
  "lattice_angstrom": [[-1.8443, 1.8443, 8.8175], [1.8443, -1.8443, 8.8175], [1.8443, 1.8443, -8.8175]],
  "species": ["Ho", "Ho", "Si", "Si", "S", "S"],
  "frac_coords": [[0.1462, 0.1462, 0.0000], [0.8538, 0.8538, 0.0000], [0.0000, 0.5000, 0.5000], [0.5000, 0.0000, 0.5000], [0.3113, 0.3113, 0.0000], [0.6887, 0.6887, 0.0000]],
  "magmom_total_mub_per_fu": 0.0,
  "dos_at_fermi_per_ev_atom": 0.32,
  "e_tot_ev_per_fu": -17.890,
  "formation_energy_uncorrected_ev_per_atom": -1.2539,
  "sg": "I4/mmm"
}

[8]
{
  "formula": "Ho2SiS",
  "functional": "GGA-PBE",
  "state": "optimized geometry",
  "lattice_angstrom": [[1.9694, 1.1370, 6.9624], [-1.9694, 1.1370, 6.9624], [0.0000, -2.2741, 6.9624]],
  "species": ["Ho", "Ho", "Si", "S"],
  "frac_coords": [[0.0000, 0.0000, 0.0000], [0.1744, 0.1744, 0.1744], [0.5868, 0.5868, 0.5868], [0.7566, 0.7566, 0.7566]],
  "magmom_total_mub_per_fu": 0.0,
  "dos_at_fermi_per_ev_atom": 0.64,
  "e_tot_ev_per_fu": -23.593,
  "formation_energy_uncorrected_ev_per_atom": -1.2219,
  "sg": "R3m"
}

[9]
{
  "formula": "HoSiS",
  "functional": "GGA-PBE",
  "state": "optimized geometry",
  "lattice_angstrom": [[1.9798, 1.1430, 11.2147], [-1.9798, 1.1430, 11.2147], [0.0000, -2.2861, 11.2147]],
  "species": ["Ho", "Ho", "Si", "Si", "S", "S"],
  "frac_coords": [[0.0728, 0.0728, 0.0728], [0.9272, 0.9272, 0.9272], [0.3440, 0.3440, 0.3440], [0.6560, 0.6560, 0.6560], [0.2230, 0.2230, 0.2230], [0.7770, 0.7770, 0.7770]],
  "magmom_total_mub_per_fu": 0.0,
  "dos_at_fermi_per_ev_atom": 0.13,
  "e_tot_ev_per_fu": -17.552,
  "formation_energy_uncorrected_ev_per_atom": -1.1413,
  "sg": "R-3m"
}

[10]
{
  "formula": "Ho2SiS",
  "functional": "GGA-PBE",
  "state": "optimized geometry",
  "lattice_angstrom": [[1.9953, 1.1520, 6.6183], [-1.9953, 1.1520, 6.6183], [0.0000, -2.3040, 6.6183]],
  "species": ["Ho", "Ho", "Si", "S"],
  "frac_coords": [[0.2494, 0.2494, 0.2494], [0.7506, 0.7506, 0.7506], [0.5000, 0.5000, 0.5000], [0.0000, 0.0000, 0.0000]],
  "magmom_total_mub_per_fu": 0.0,
  "dos_at_fermi_per_ev_atom": 0.39,
  "e_tot_ev_per_fu": -24.155,
  "formation_energy_uncorrected_ev_per_atom": -1.3624,
  "sg": "R-3m"
}

[11]
{
  "formula": "HoSiS3",
  "functional": "GGA-PBE",
  "state": "optimized geometry",
  "lattice_angstrom": [[7.6932, 0.0000, 0.0000], [0.0000, 6.2710, 0.0000], [0.0000, 0.0000, 8.8609]],
  "species": ["Ho", "Ho", "Ho", "Ho", "Si", "Si", "Si", "Si", "S", "S", "S", "S", "S", "S", "S", "S", "S", "S", "S", "S"],
  "frac_coords": [[0.1203, 0.0693, 0.0000], [0.3797, 0.5693, 0.5000], [0.6203, 0.4307, 0.0000], [0.8797, 0.9307, 0.5000], [0.2237, 0.6582, 0.1298], [0.2763, 0.1582, 0.6298], [0.7237, 0.8418, 0.1298], [0.7763, 0.3418, 0.6298], [0.0538, 0.3297, 0.5231], [0.1762, 0.8537, 0.6968], [0.1840, 0.8479, 0.3302], [0.3160, 0.3479, 0.8302], [0.3238, 0.3537, 0.1968], [0.4462, 0.8297, 0.0231], [0.5538, 0.1703, 0.5231], [0.6762, 0.6463, 0.6968], [0.6840, 0.6521, 0.3302], [0.8160, 0.1521, 0.8302], [0.8238, 0.1463, 0.1968], [0.9462, 0.6703, 0.0231]],
  "magmom_total_mub_per_fu": 0.0,
  "dos_at_fermi_per_ev_atom": 0.27,
  "e_tot_ev_per_fu": -27.814,
  "formation_energy_uncorrected_ev_per_atom": -1.0861,
  "sg": "Pna2_1"
}

[12]
{
  "formula": "Ho6SiS4",
  "functional": "GGA-PBE",
  "state": "optimized geometry",
  "lattice_angstrom": [[1.9599, -6.3369, 0.0000], [1.9599, 6.3369, 0.0000], [0.0000, 0.0000, 19.6829]],
  "species": ["Ho", "Ho", "Ho", "Ho", "Ho", "Ho", "Ho", "Ho", "Ho", "Ho", "Ho", "Ho", "Si", "Si", "S", "S", "S", "S", "S", "S", "S", "S"],
  "frac_coords": [[0.0000, 0.0000, 0.0000], [0.0000, 0.0000, 0.5000], [0.1698, 0.8302, 0.7500], [0.2729, 0.7271, 0.0879], [0.2729, 0.7271, 0.4121], [0.4477, 0.5523, 0.6656], [0.4477, 0.5523, 0.8344], [0.5523, 0.4477, 0.1656], [0.5523, 0.4477, 0.3344], [0.7271, 0.2729, 0.5879], [0.7271, 0.2729, 0.9121], [0.8302, 0.1698, 0.2500], [0.1673, 0.8327, 0.2500], [0.8327, 0.1673, 0.7500], [0.0883, 0.9117, 0.6246], [0.0883, 0.9117, 0.8754], [0.3612, 0.6388, 0.5393], [0.3612, 0.6388, 0.9607], [0.6388, 0.3612, 0.0393], [0.6388, 0.3612, 0.4607], [0.9117, 0.0883, 0.1246], [0.9117, 0.0883, 0.3754]],
  "magmom_total_mub_per_fu": 0.0,
  "dos_at_fermi_per_ev_atom": 0.70,
  "e_tot_ev_per_fu": -66.977,
  "formation_energy_uncorrected_ev_per_atom": -1.5980,
  "sg": "Cmcm"
}